Record 1
Material: KTlRh2
Method: DFT, meta-GGA SCAN
State: PBEsol geometry

Calculated values
Uncorrected energy   -36.448 eV per atom
ΔH_f (0 K)   609.5 meV/atom
ΔE to the lowest computed polymorph   0.18 eV/f.u.
Size of the total moment   0.000 Bohr magnetons per cell

Unit cell a=4.692 b=4.692 c=4.692 alpha=60.00 beta=60.00 gamma=60.00
Fractional coordinates of all 4 atoms:
Rh1 0.750 0.750 0.750
Rh2 0.250 0.250 0.250
K1 0.000 0.000 0.000
Tl1 0.500 0.500 0.500



Record 2
Material: K2TlRh
Method: DFT, meta-GGA SCAN
State: PBEsol geometry

Calculated values
Uncorrected energy   -30.379 eV per atom
ΔH_f (0 K)   318.3 meV/atom
ΔE to the lowest computed polymorph   0.73 eV/f.u.
Size of the total moment   0.000 Bohr magnetons per cell

Unit cell a=5.186 b=5.186 c=5.186 alpha=60.00 beta=60.00 gamma=60.00
Fractional coordinates of all 4 atoms:
K1 0.000 0.000 0.000
K2 0.750 0.750 0.750
Tl1 0.250 0.250 0.250
Rh1 0.500 0.500 0.500



Record 3
Material: K2RhW
Method: DFT, meta-GGA SCAN
State: PBEsol geometry

Calculated values
Uncorrected energy   -28.751 eV per atom
ΔH_f (0 K)   1278.3 meV/atom
Size of the total moment   0.001 Bohr magnetons per cell

Unit cell a=2.742 b=5.213 c=6.269 alpha=114.57 beta=90.00 gamma=90.00
Fractional coordinates of all 4 atoms:
W1 0.500 0.500 0.000
K1 0.000 0.000 0.500
K2 0.000 0.500 0.500
Rh1 0.500 0.000 0.000



Record 4
Material: KRhW2
Method: DFT, meta-GGA SCAN
State: PBEsol geometry

Calculated values
Uncorrected energy   -44.600 eV per atom
ΔH_f (0 K)   769.1 meV/atom
ΔE to the lowest computed polymorph   0.00 eV/f.u.
Size of the total moment   0.000 Bohr magnetons per cell

Unit cell a=3.099 b=3.099 c=8.634 alpha=90.00 beta=90.00 gamma=90.00
Fractional coordinates of all 4 atoms:
W1 0.500 0.500 0.162
W2 0.000 0.000 0.992
Rh1 0.500 0.500 0.824
K1 0.000 0.000 0.522



Record 5
Material: KRhW2
Method: DFT, meta-GGA SCAN
State: PBEsol geometry

Calculated values
Uncorrected energy   -44.476 eV per atom
ΔH_f (0 K)   893.0 meV/atom
ΔE to the lowest computed polymorph   0.50 eV/f.u.
Size of the total moment   0.000 Bohr magnetons per cell

Unit cell a=2.703 b=2.703 c=10.140 alpha=90.00 beta=90.00 gamma=90.00
Fractional coordinates of all 4 atoms:
Rh1 0.500 0.500 0.500
K1 0.500 0.500 0.000
W1 0.000 0.000 0.692
W2 0.000 0.000 0.308



Record 6
Material: KRhW2
Method: DFT, meta-GGA SCAN
State: PBEsol geometry

Calculated values
Uncorrected energy   -44.466 eV per atom
ΔH_f (0 K)   903.2 meV/atom
ΔE to the lowest computed polymorph   0.54 eV/f.u.
Size of the total moment   0.000 Bohr magnetons per cell

Unit cell a=2.704 b=3.933 c=8.089 alpha=90.00 beta=90.00 gamma=90.00
Fractional coordinates of all 4 atoms:
K1 0.500 0.500 0.000
Rh1 0.500 0.500 0.500
W1 0.000 0.000 0.348
W2 0.000 0.000 0.652



Record 7
Material: KRhW2
Method: DFT, meta-GGA SCAN
State: PBEsol geometry

Calculated values
Uncorrected energy   -43.638 eV per atom
ΔH_f (0 K)   1730.8 meV/atom
ΔE to the lowest computed polymorph   3.85 eV/f.u.
Size of the total moment   0.000 Bohr magnetons per cell

Unit cell a=4.498 b=4.498 c=4.498 alpha=60.00 beta=60.00 gamma=60.00
Fractional coordinates of all 4 atoms:
K1 0.000 0.000 0.000
Rh1 0.500 0.500 0.500
W1 0.750 0.750 0.750
W2 0.250 0.250 0.250



Record 8
Material: KY2Rh
Method: DFT, meta-GGA SCAN
State: PBEsol geometry

Calculated values
Uncorrected energy   -24.841 eV per atom
ΔH_f (0 K)   -394.5 meV/atom
ΔE to the lowest computed polymorph   0.00 eV/f.u.
Size of the total moment   0.000 Bohr magnetons per cell

Unit cell a=4.046 b=4.048 c=10.118 alpha=78.64 beta=78.47 gamma=60.01
Fractional coordinates of all 4 atoms:
Y1 0.286 0.286 0.142
Y2 0.048 0.044 0.860
K1 0.499 0.504 0.498
Rh1 0.667 0.665 0.001



Record 9
Material: KYRh
Method: DFT, meta-GGA SCAN
State: PBEsol geometry

Calculated values
Uncorrected energy   -22.282 eV per atom
ΔH_f (0 K)   1032.2 meV/atom
Size of the total moment   0.000 Bohr magnetons per cell

Unit cell a=4.692 b=4.692 c=4.692 alpha=60.00 beta=60.00 gamma=60.00
Fractional coordinates of all 3 atoms:
K1 0.250 0.250 0.250
Rh1 0.000 0.000 0.000
Y1 0.500 0.500 0.500



Record 10
Material: KY2Rh
Method: DFT, meta-GGA SCAN
State: PBEsol geometry

Calculated values
Uncorrected energy   -24.016 eV per atom
ΔH_f (0 K)   430.6 meV/atom
ΔE to the lowest computed polymorph   3.30 eV/f.u.
Size of the total moment   0.000 Bohr magnetons per cell

Unit cell a=3.328 b=5.857 c=5.857 alpha=109.98 beta=103.35 gamma=103.35
Fractional coordinates of all 4 atoms:
K1 0.500 0.500 0.500
Rh1 0.500 0.000 0.000
Y1 0.000 0.000 0.500
Y2 0.000 0.500 0.000



Record 11
Material: KYRh2
Method: DFT, meta-GGA SCAN
State: PBEsol geometry

Calculated values
Uncorrected energy   -25.855 eV per atom
ΔH_f (0 K)   73.6 meV/atom
Size of the total moment   0.000 Bohr magnetons per cell

Unit cell a=3.249 b=3.249 c=9.312 alpha=79.95 beta=79.95 gamma=60.00
Fractional coordinates of all 4 atoms:
Rh1 0.239 0.239 0.284
Rh2 0.761 0.761 0.716
K1 0.000 0.000 0.000
Y1 0.500 0.500 0.500



Record 12
Material: KZn3Rh
Method: DFT, meta-GGA SCAN
State: PBEsol geometry

Calculated values
Uncorrected energy   -14.784 eV per atom
ΔH_f (0 K)   1744.9 meV/atom
Size of the total moment   1.839 Bohr magnetons per cell

Unit cell a=5.156 b=5.156 c=5.156 alpha=90.00 beta=90.00 gamma=90.00
Each line ends with the local moment (μB).
Fractional coordinates of all 5 atoms:
Zn1 0.000 0.000 0.500  0.01
Zn2 0.000 0.500 0.000  0.01
Zn3 0.500 0.000 0.000  0.01
K1 0.000 0.000 0.000  0.00
Rh1 0.500 0.500 0.500  1.70